Here is Li2AsPtCl after structural relaxation from Alexandria. Energies are from GGA-PBE.

Output
The total energy is -3.651 eV/atom. Its space-group type is P4/mmm (123).

Geometry as extended XYZ:
```
5
Lattice="-4.117 -2.575 -2.086 1.659 -3.885 1.522 -2.677 0.624 4.513" Properties=species:S:1:pos:R:3 pbc="T T T"
Li -1.339 0.312 2.257
Li -2.058 -1.287 -1.043
Cl -2.567 -2.918 1.975
As 0.000 0.000 0.000
Pt 0.830 -1.943 0.761
```

***

Here is BaLa3Tl after structural relaxation from Alexandria. Energies are from GGA-PBE.

Output
Its energy above the most stable polymorph in this dataset is 0.00 kJ/mol of atoms. The value obtained for the formation enthalpy at 0 K is 0.18 eV per atom. Its space-group type is Pm-3m (221).

Geometry as extended XYZ:
```
5
Lattice="-2.111 -3.712 4.503 -3.634 -2.911 -4.103 4.566 -4.033 -1.184" Properties=species:S:1:pos:R:3 pbc="T T T"
La -1.055 -1.856 2.252
La -1.817 -1.455 -2.051
La 2.283 -2.016 -0.592
Ba -0.590 -5.328 -0.392
Tl 0.000 0.000 0.000
```

***

Here is Ag5Pb after structural relaxation from Alexandria. Energies are from GGA-PBE.

Output
Its energy above the most stable polymorph in this dataset is 0.00 kJ/mol of atoms. The value obtained for the formation enthalpy at 0 K is 0.06 eV per atom. Its space-group type is P-62m (189).

Geometry as extended XYZ:
```
6
Lattice="5.341 0.000 0.000 -2.671 4.626 0.000 0.000 0.000 4.788" Properties=species:S:1:pos:R:3 pbc="T T T"
Ag -0.890 1.542 2.394
Ag 2.736 1.655 0.000
Ag 0.065 2.971 0.000
Ag 1.780 3.084 2.394
Ag 5.211 0.000 0.000
Pb 1.780 0.000 2.394
```

***

Here is Ce2C2N5 after structural relaxation from Alexandria. Energies are from GGA-PBE.

Output
The total energy is -8.401 eV/atom. Its space-group type is P-1 (2).

Geometry as extended XYZ:
```
9
Lattice="8.919 -1.515 -3.185 -1.500 3.710 -0.170 -3.296 1.880 7.471" Properties=species:S:1:pos:R:3 pbc="T T T"
N 5.983 0.894 1.924
N -1.859 3.180 2.192
N 0.925 2.063 4.853
N 0.000 0.000 0.000
N 3.199 2.011 -0.737
Ce -0.648 3.571 4.564
Ce 4.771 0.504 -0.448
C 5.824 0.644 3.090
C -1.700 3.430 1.026
```

***

Here is LiPm2TlHg4 after structural relaxation from Alexandria. Energies are from GGA-PBE.

Output
The value obtained for the formation enthalpy at 0 K is -0.42 eV per atom. Its space-group type is R-3m (166).

Geometry as extended XYZ:
```
8
Lattice="-2.099 -4.592 -1.241 3.066 -3.996 -1.287 0.664 -5.203 7.237" Properties=species:S:1:pos:R:3 pbc="T T T"
Tl 0.000 0.000 0.000
Pm 0.403 -3.413 1.058
Pm 1.228 -10.378 3.650
Hg 1.103 -9.520 0.687
Hg 0.933 -7.702 5.139
Hg 0.698 -6.089 -0.432
Hg 0.528 -4.272 4.021
Li 0.816 -6.896 2.354
```

***

Here is CuSb2TePt after structural relaxation from Alexandria. Energies are from GGA-PBE.

Output
Its energy above the most stable polymorph in this dataset is 0.00 kJ/mol of atoms. Its space-group type is P4/mmm (123).

Geometry as extended XYZ:
```
5
Lattice="5.184 0.000 0.000 0.000 5.184 0.000 0.000 0.000 5.538" Properties=species:S:1:pos:R:3 pbc="T T T"
Sb 0.000 2.592 0.000
Sb 2.592 0.000 0.000
Cu 2.592 2.592 2.769
Pt 0.000 0.000 0.000
Te 0.000 0.000 2.769
```

***

Here is AgAuSe3 after structural relaxation from Alexandria. Energies are from GGA-PBE.

Output
Its energy above the most stable polymorph in this dataset is 0.00 kJ/mol of atoms. Its space-group type is Pm-3m (221).

Geometry as extended XYZ:
```
5
Lattice="5.123 0.000 0.000 0.000 5.123 0.000 0.000 0.000 5.123" Properties=species:S:1:pos:R:3 pbc="T T T"
Ag 2.562 2.562 2.562
Se 0.000 0.000 2.562
Se 0.000 2.562 0.000
Se 2.562 0.000 0.000
Au 0.000 0.000 0.000
```

***

Here is Mn2TlSe after structural relaxation from Alexandria. Energies are from GGA-PBE.

Output
Its energy above the most stable polymorph in this dataset is 1.72 kJ/mol of atoms. Its space-group type is R-3m (166).

Geometry as extended XYZ:
```
4
Lattice="-0.108 5.259 -5.364 -3.370 3.647 -5.637 -2.816 6.228 -3.118" Properties=species:S:1:pos:R:3 pbc="T T T"
Mn -3.221 7.746 -7.226
Mn -6.219 14.955 -13.952
Se -1.573 3.783 -3.530
Tl -4.720 11.350 -10.589
```

***

Number 1: magnetic moment 0.0 μB per cell. Number 2: magnetic moment 0.0 μB per cell. Number 3: magnetic moment 0.0 μB per cell. Number 4: magnetic moment 1.1 μB per cell. Number 5: magnetic moment 0.0 μB per cell. Number 6: magnetic moment 0.0 μB per cell. Number 7: magnetic moment 0.0 μB per cell. Number 8: magnetic moment 8.4 μB per cell.